#A
Compound: LiTcNi6
Source: Alexandria via LeMat-Bulk
Functional: PBE-GGA
Structure: relaxed

Output
Spin magnetization in Bohr magnetons per cell: 0.0
DOS(E_F) in states/eV/atom: 1.5765
Density in g/cm3: 8.3
SG: I4/mmm (139)

Lattice parameters (Å, degrees): 5.9406 5.9406 5.9406 138.25 138.25 60.51
Atoms (fractional coordinates):
Li 0.0000 0.0000 0.0000
Tc 0.5000 0.5000 0.0000
Ni 0.1258 0.6258 0.5000
Ni 0.2544 0.2544 0.0000
Ni 0.3742 0.8742 0.5000
Ni 0.6258 0.1258 0.5000
Ni 0.7456 0.7456 0.0000
Ni 0.8742 0.3742 0.5000

***

#B
Compound: LiTcNi6
Source: Alexandria via LeMat-Bulk
Functional: PBE-GGA
Structure: relaxed

Output
Spin magnetization in Bohr magnetons per cell: 0.0
DOS(E_F) in states/eV/atom: 1.1884
Density in g/cm3: 8.3
SG: Cmmm (65)

Lattice parameters (Å, degrees): 6.1777 6.1777 10.0886 90.00 90.00 109.17
Atoms (fractional coordinates):
Li 0.0000 0.0000 0.2473
Li 0.0000 0.0000 0.7527
Li 0.2535 0.7465 0.0000
Li 0.7465 0.2535 0.0000
Tc 0.2483 0.7517 0.5000
Tc 0.5000 0.5000 0.2389
Tc 0.5000 0.5000 0.7611
Tc 0.7517 0.2483 0.5000
Ni 0.0000 0.0000 0.0000
Ni 0.0000 0.0000 0.5000
Ni 0.1255 0.3744 0.1253
Ni 0.1255 0.3744 0.8747
Ni 0.1268 0.3778 0.3755
Ni 0.1268 0.3778 0.6245
Ni 0.2509 0.7491 0.2518
Ni 0.2509 0.7491 0.7482
Ni 0.3744 0.1255 0.1253
Ni 0.3744 0.1255 0.8747
Ni 0.3778 0.1268 0.3755
Ni 0.3778 0.1268 0.6245
Ni 0.5000 0.5000 0.0000
Ni 0.5000 0.5000 0.5000
Ni 0.6222 0.8732 0.3755
Ni 0.6222 0.8732 0.6245
Ni 0.6256 0.8745 0.1253
Ni 0.6256 0.8745 0.8747
Ni 0.7491 0.2509 0.2518
Ni 0.7491 0.2509 0.7482
Ni 0.8732 0.6222 0.3755
Ni 0.8732 0.6222 0.6245
Ni 0.8745 0.6256 0.1253
Ni 0.8745 0.6256 0.8747

***

Stability summary: most stable #B, least stable #A.

***

#A
Compound: LiTcNi3
Source: Alexandria via LeMat-Bulk
Functional: PBE-GGA
Structure: relaxed

Output
Spin magnetization in Bohr magnetons per cell: 4.0
DOS(E_F) in states/eV/atom: 0.4249
Density in g/cm3: 7.8
SG: Pm-3m (221)

Lattice parameters (Å, degrees): 3.9084 3.9084 3.9084 90.00 90.00 90.00
Atoms (fractional coordinates):
Li 0.0000 0.0000 0.0000
Tc 0.5000 0.5000 0.5000
Ni 0.0000 0.0000 0.5000
Ni 0.0000 0.5000 0.0000
Ni 0.5000 0.0000 0.0000

***

#B
Compound: LiTcNi3
Source: Alexandria via LeMat-Bulk
Functional: PBE-GGA
Structure: relaxed

Output
Spin magnetization in Bohr magnetons per cell: 0.0
DOS(E_F) in states/eV/atom: 1.1976
Density in g/cm3: 5.1
SG: Pm-3m (221)

Lattice parameters (Å, degrees): 4.5004 4.5004 4.5004 90.00 90.00 90.00
Atoms (fractional coordinates):
Li 0.0000 0.0000 0.0000
Tc 0.5000 0.5000 0.5000
Ni 0.0000 0.5000 0.5000
Ni 0.5000 0.0000 0.5000
Ni 0.5000 0.5000 0.0000

***

Stability summary: most stable #A, least stable #B.

***

#A
Compound: LiNiTe
Source: Alexandria via LeMat-Bulk
Functional: PBE-GGA
Structure: relaxed

Output
Spin magnetization in Bohr magnetons per cell: 0.0
DOS(E_F) in states/eV/atom: 0.6089
Density in g/cm3: 6.6
SG: Fmm2 (42)

Lattice parameters (Å, degrees): 4.5921 4.5862 3.5752 67.16 66.99 45.85
Atoms (fractional coordinates):
Li 0.0000 0.0000 0.0000
Ni 0.3274 0.3274 0.6726
Te 0.6691 0.6691 0.3309

***

#B
Compound: LiNiTe
Source: Alexandria via LeMat-Bulk
Functional: PBE-GGA
Structure: relaxed

Output
Spin magnetization in Bohr magnetons per cell: 0.0
DOS(E_F) in states/eV/atom: 0.7857
Density in g/cm3: 6.1
SG: P4/nmm (129)

Lattice parameters (Å, degrees): 4.0986 4.0986 6.2305 90.00 90.00 90.00
Atoms (fractional coordinates):
Li 0.2500 0.2500 0.2109
Li 0.7500 0.7500 0.7891
Ni 0.2500 0.7500 0.5000
Ni 0.7500 0.2500 0.5000
Te 0.2500 0.2500 0.7499
Te 0.7500 0.7500 0.2501

***

Stability summary: most stable #B, least stable #A.

***

#A
Compound: LiNiTe
Source: Alexandria via LeMat-Bulk
Functional: PBE-GGA
Structure: relaxed

Output
Spin magnetization in Bohr magnetons per cell: 0.0
DOS(E_F) in states/eV/atom: 0.6459
Density in g/cm3: 6.2
SG: F-43m (216)

Lattice parameters (Å, degrees): 4.1869 4.1869 4.1869 60.00 60.00 60.00
Atoms (fractional coordinates):
Li 0.0000 0.0000 0.0000
Ni 0.2500 0.2500 0.2500
Te 0.5000 0.5000 0.5000

***

#B
Compound: LiNiTe
Source: Alexandria via LeMat-Bulk
Functional: PBE-GGA
Structure: relaxed

Output
Spin magnetization in Bohr magnetons per cell: 0.0
DOS(E_F) in states/eV/atom: 0.5198
Density in g/cm3: 5.5
SG: P-6m2 (187)

Lattice parameters (Å, degrees): 4.2173 4.2173 3.7535 90.00 90.00 120.00
Atoms (fractional coordinates):
Li 0.0000 0.0000 0.0000
Ni 0.6667 0.3333 0.5000
Te 0.3333 0.6667 0.5000

***

Stability summary: most stable #A, least stable #B.

***

#A
Compound: Li3NiTe
Source: Alexandria via LeMat-Bulk
Functional: PBE-GGA
Structure: relaxed

Output
Spin magnetization in Bohr magnetons per cell: 1.0
DOS(E_F) in states/eV/atom: 2.5185
Density in g/cm3: 2.5
SG: Pm-3m (221)

Lattice parameters (Å, degrees): 5.1698 5.1698 5.1698 90.00 90.00 90.00
Atoms (fractional coordinates):
Li 0.0000 0.0000 0.5000
Li 0.0000 0.5000 0.0000
Li 0.5000 0.0000 0.0000
Ni 0.5000 0.5000 0.5000
Te 0.0000 0.0000 0.0000

***

#B
Compound: Li3NiTe
Source: Alexandria via LeMat-Bulk
Functional: PBE-GGA
Structure: relaxed

Output
Spin magnetization in Bohr magnetons per cell: 0.7
DOS(E_F) in states/eV/atom: 1.1380
Density in g/cm3: 3.6
SG: Pm-3m (221)

Lattice parameters (Å, degrees): 4.5574 4.5574 4.5574 90.00 90.00 90.00
Atoms (fractional coordinates):
Li 0.0000 0.0000 0.5000
Li 0.0000 0.5000 0.0000
Li 0.5000 0.0000 0.0000
Ni 0.0000 0.0000 0.0000
Te 0.5000 0.5000 0.5000

***

Stability summary: most stable #B, least stable #A.

***

#A
Compound: Li2ThNi9
Source: Alexandria via LeMat-Bulk
Functional: PBE-GGA
Structure: relaxed

Output
Spin magnetization in Bohr magnetons per cell: 0.3
DOS(E_F) in states/eV/atom: 1.1161
Density in g/cm3: 8.0
SG: R-3m (166)

Lattice parameters (Å, degrees): 8.3166 8.3166 8.3166 33.97 33.97 33.97
Atoms (fractional coordinates):
Li 0.1467 0.1467 0.1467
Li 0.8533 0.8533 0.8533
Th 0.0000 0.0000 0.0000
Ni 0.0833 0.5871 0.5871
Ni 0.3334 0.3334 0.3334
Ni 0.4129 0.4129 0.9167
Ni 0.4129 0.9167 0.4129
Ni 0.5000 0.5000 0.5000
Ni 0.5871 0.0833 0.5871
Ni 0.5871 0.5871 0.0833
Ni 0.6666 0.6666 0.6666
Ni 0.9167 0.4129 0.4129

***

#B
Compound: Li2ThNi9
Source: Alexandria via LeMat-Bulk
Functional: PBE-GGA
Structure: relaxed

Output
Spin magnetization in Bohr magnetons per cell: 5.0
DOS(E_F) in states/eV/atom: 1.4047
Density in g/cm3: 8.2
SG: P4/mbm (127)

Lattice parameters (Å, degrees): 8.1169 8.1169 4.7399 90.00 90.00 90.00
Atoms (fractional coordinates):
Li 0.1117 0.3883 0.0000
Li 0.3883 0.8883 0.0000
Li 0.6117 0.1117 0.0000
Li 0.8883 0.6117 0.0000
Th 0.0000 0.0000 0.0000
Th 0.5000 0.5000 0.0000
Ni 0.0000 0.5000 0.5000
Ni 0.0625 0.2115 0.5000
Ni 0.1806 0.6806 0.2442
Ni 0.1806 0.6806 0.7558
Ni 0.2115 0.9375 0.5000
Ni 0.2885 0.4375 0.5000
Ni 0.3194 0.1806 0.2442
Ni 0.3194 0.1806 0.7558
Ni 0.4375 0.7115 0.5000
Ni 0.5000 0.0000 0.5000
Ni 0.5625 0.2885 0.5000
Ni 0.6806 0.8194 0.2442
Ni 0.6806 0.8194 0.7558
Ni 0.7115 0.5625 0.5000
Ni 0.7885 0.0625 0.5000
Ni 0.8194 0.3194 0.2442
Ni 0.8194 0.3194 0.7558
Ni 0.9375 0.7885 0.5000

***

Stability summary: most stable #A, least stable #B.

***

#A
Compound: Li2TiNi
Source: Alexandria via LeMat-Bulk
Functional: PBE-GGA
Structure: relaxed

Output
Spin magnetization in Bohr magnetons per cell: 0.0
DOS(E_F) in states/eV/atom: 1.5901
Density in g/cm3: 3.8
SG: Fm-3m (225)

Lattice parameters (Å, degrees): 4.2009 4.2009 4.2009 60.00 60.00 60.00
Atoms (fractional coordinates):
Li 0.2500 0.2500 0.2500
Li 0.7500 0.7500 0.7500
Ti 0.0000 0.0000 0.0000
Ni 0.5000 0.5000 0.5000

***

#B
Compound: Li2TiNi
Source: Alexandria via LeMat-Bulk
Functional: PBE-GGA
Structure: relaxed

Output
Spin magnetization in Bohr magnetons per cell: 1.9
DOS(E_F) in states/eV/atom: 0.5780
Density in g/cm3: 3.4
SG: I-42d (122)

Lattice parameters (Å, degrees): 10.0988 10.0988 10.0988 160.16 160.16 28.20
Atoms (fractional coordinates):
Li 0.1012 0.6250 0.9762
Li 0.3750 0.3512 0.4762
Li 0.6488 0.1250 0.0238
Li 0.8750 0.8988 0.5238
Ti 0.2500 0.7500 0.5000
Ti 0.5000 0.5000 0.0000
Ni 0.0000 0.0000 0.0000
Ni 0.7500 0.2500 0.5000

***

Stability summary: most stable #B, least stable #A.

***

#A
Compound: LiTiNi6
Source: Alexandria via LeMat-Bulk
Functional: PBE-GGA
Structure: relaxed

Output
Spin magnetization in Bohr magnetons per cell: 6.9
DOS(E_F) in states/eV/atom: 1.0334
Density in g/cm3: 7.4
SG: Cmmm (65)

Lattice parameters (Å, degrees): 6.1837 6.1837 10.1111 90.00 90.00 109.83
Atoms (fractional coordinates):
Li 0.0000 0.0000 0.2474
Li 0.0000 0.0000 0.7526
Li 0.2542 0.7458 0.0000
Li 0.7458 0.2542 0.0000
Ti 0.2542 0.7458 0.5000
Ti 0.5000 0.5000 0.2468
Ti 0.5000 0.5000 0.7532
Ti 0.7458 0.2542 0.5000
Ni 0.0000 0.0000 0.0000
Ni 0.0000 0.0000 0.5000
Ni 0.1205 0.3729 0.1229
Ni 0.1205 0.3729 0.8771
Ni 0.1227 0.3714 0.3737
Ni 0.1227 0.3714 0.6263
Ni 0.2506 0.7494 0.2475
Ni 0.2506 0.7494 0.7525
Ni 0.3714 0.1227 0.3737
Ni 0.3714 0.1227 0.6263
Ni 0.3729 0.1205 0.1229
Ni 0.3729 0.1205 0.8771
Ni 0.5000 0.5000 0.0000
Ni 0.5000 0.5000 0.5000
Ni 0.6271 0.8795 0.1229
Ni 0.6271 0.8795 0.8771
Ni 0.6286 0.8773 0.3737
Ni 0.6286 0.8773 0.6263
Ni 0.7494 0.2506 0.2475
Ni 0.7494 0.2506 0.7525
Ni 0.8773 0.6286 0.3737
Ni 0.8773 0.6286 0.6263
Ni 0.8795 0.6271 0.1229
Ni 0.8795 0.6271 0.8771

***

#B
Compound: LiTiNi6
Source: Alexandria via LeMat-Bulk
Functional: PBE-GGA
Structure: relaxed

Output
Spin magnetization in Bohr magnetons per cell: 1.4
DOS(E_F) in states/eV/atom: 1.0110
Density in g/cm3: 7.4
SG: P-6m2 (187)

Lattice parameters (Å, degrees): 5.0930 5.0930 4.0713 90.00 90.00 120.00
Atoms (fractional coordinates):
Li 0.0000 0.0000 0.0000
Ti 0.3333 0.6667 0.5000
Ni 0.3335 0.1668 0.5000
Ni 0.5044 0.0088 0.0000
Ni 0.5044 0.4956 0.0000
Ni 0.8332 0.1668 0.5000
Ni 0.8332 0.6665 0.5000
Ni 0.9912 0.4956 0.0000

***

Stability summary: most stable #A, least stable #B.

***

#A
Compound: Li3TiNi
Source: Alexandria via LeMat-Bulk
Functional: PBE-GGA
Structure: relaxed

Output
Spin magnetization in Bohr magnetons per cell: 2.9
DOS(E_F) in states/eV/atom: 0.8532
Density in g/cm3: 2.0
SG: Pm-3m (221)

Lattice parameters (Å, degrees): 4.7684 4.7684 4.7684 90.00 90.00 90.00
Atoms (fractional coordinates):
Li 0.0000 0.0000 0.5000
Li 0.0000 0.5000 0.0000
Li 0.5000 0.0000 0.0000
Ti 0.0000 0.0000 0.0000
Ni 0.5000 0.5000 0.5000

***

#B
Compound: Li3TiNi
Source: Alexandria via LeMat-Bulk
Functional: PBE-GGA
Structure: relaxed

Output
Spin magnetization in Bohr magnetons per cell: 0.0
DOS(E_F) in states/eV/atom: 1.8833
Density in g/cm3: 2.6
SG: Pm-3m (221)

Lattice parameters (Å, degrees): 4.3189 4.3189 4.3189 90.00 90.00 90.00
Atoms (fractional coordinates):
Li 0.0000 0.0000 0.5000
Li 0.0000 0.5000 0.0000
Li 0.5000 0.0000 0.0000
Ti 0.5000 0.5000 0.5000
Ni 0.0000 0.0000 0.0000

***

Stability summary: most stable #B, least stable #A.

***

#A
Compound: LiTlNi3
Source: Alexandria via LeMat-Bulk
Functional: PBE-GGA
Structure: relaxed

Output
Spin magnetization in Bohr magnetons per cell: 0.0
DOS(E_F) in states/eV/atom: 0.1207
Density in g/cm3: 9.5
SG: Pm-3m (221)

Lattice parameters (Å, degrees): 4.0812 4.0812 4.0812 90.00 90.00 90.00
Atoms (fractional coordinates):
Li 0.0000 0.0000 0.0000
Tl 0.5000 0.5000 0.5000
Ni 0.0000 0.0000 0.5000
Ni 0.0000 0.5000 0.0000
Ni 0.5000 0.0000 0.0000

***

#B
Compound: LiTlNi3
Source: Alexandria via LeMat-Bulk
Functional: PBE-GGA
Structure: relaxed

Output
Spin magnetization in Bohr magnetons per cell: 0.0
DOS(E_F) in states/eV/atom: 0.5828
Density in g/cm3: 5.7
SG: Pm-3m (221)

Lattice parameters (Å, degrees): 4.8246 4.8246 4.8246 90.00 90.00 90.00
Atoms (fractional coordinates):
Li 0.0000 0.0000 0.0000
Tl 0.5000 0.5000 0.5000
Ni 0.0000 0.5000 0.5000
Ni 0.5000 0.0000 0.5000
Ni 0.5000 0.5000 0.0000

***

Stability summary: most stable #A, least stable #B.

***

#A
Compound: Li3TlNi
Source: Alexandria via LeMat-Bulk
Functional: PBE-GGA
Structure: relaxed

Output
Spin magnetization in Bohr magnetons per cell: 0.0
DOS(E_F) in states/eV/atom: 0.6058
Density in g/cm3: 4.9
SG: Pm-3m (221)

Lattice parameters (Å, degrees): 4.5752 4.5752 4.5752 90.00 90.00 90.00
Atoms (fractional coordinates):
Li 0.0000 0.0000 0.5000
Li 0.0000 0.5000 0.0000
Li 0.5000 0.0000 0.0000
Tl 0.5000 0.5000 0.5000
Ni 0.0000 0.0000 0.0000

***

#B
Compound: Li3TlNi
Source: Alexandria via LeMat-Bulk
Functional: PBE-GGA
Structure: relaxed

Output
Spin magnetization in Bohr magnetons per cell: 0.2
DOS(E_F) in states/eV/atom: 0.6411
Density in g/cm3: 4.0
SG: Pm-3m (221)

Lattice parameters (Å, degrees): 4.9033 4.9033 4.9033 90.00 90.00 90.00
Atoms (fractional coordinates):
Li 0.0000 0.0000 0.5000
Li 0.0000 0.5000 0.0000
Li 0.5000 0.0000 0.0000
Tl 0.0000 0.0000 0.0000
Ni 0.5000 0.5000 0.5000

***

Stability summary: most stable #A, least stable #B.